The following is a GGA-PBEsol calculation of SiPb2Br after structural relaxation, from Alexandria via LeMat-Bulk.

Geometry as extended XYZ:
```
4
Lattice="-3.401 -0.705 -0.464 0.409 -3.094 1.706 -1.729 3.695 7.059" Properties=species:S:1:pos:R:3 pbc="T T T"
Br -2.361 -0.052 4.151
Pb -0.387 0.820 1.590
Pb -0.933 -0.220 7.175
Si -1.496 -1.900 0.621
```

Computed properties:
- formation energy without anion corrections (eV/f.u.) = 0.0
- ΔE to the lowest computed polymorph (eV/atom) = 0.000

The following is a GGA-PBEsol calculation of TaBeOs2 after structural relaxation, from Alexandria via LeMat-Bulk.

Geometry as extended XYZ:
```
4
Lattice="2.759 0.000 0.000 0.000 2.759 0.000 0.000 0.000 7.088" Properties=species:S:1:pos:R:3 pbc="T T T"
Be 1.379 1.379 5.490
Os 0.000 0.000 6.915
Os 1.379 1.379 1.549
Ta 0.000 0.000 3.765
```

Computed properties:
- ΔH_f (0 K) (eV/atom) = -0.08

The following is a GGA-PBEsol calculation of LaTc2Te after structural relaxation, from Alexandria via LeMat-Bulk.

Geometry as extended XYZ:
```
4
Lattice="3.518 0.000 0.000 0.000 4.614 0.000 0.000 0.000 4.614" Properties=species:S:1:pos:R:3 pbc="T T T"
La 1.759 0.000 0.000
Tc 0.000 0.000 2.307
Tc 0.000 2.307 0.000
Te 1.759 2.307 2.307
```

Computed properties:
- formation energy without anion corrections (eV/f.u.) = 0.9
- ΔE to the lowest computed polymorph (eV/atom) = 0.156

The following is a GGA-PBEsol calculation of TcAgW after structural relaxation, from Alexandria via LeMat-Bulk.

Geometry as extended XYZ:
```
3
Lattice="-1.136 -2.360 -0.263 1.401 -0.236 -3.940 3.333 -0.519 3.442" Properties=species:S:1:pos:R:3 pbc="T T T"
Ag 3.590 -3.111 -0.763
Tc 2.313 -1.213 0.895
W 1.293 -1.906 -1.652
```

Computed properties:
- ΔH_f (0 K) (eV/atom) = 0.44
- ΔE to the lowest computed polymorph (eV/atom) = 0.036

The following is a GGA-PBEsol calculation of ZrZn4Ru after structural relaxation, from Alexandria via LeMat-Bulk.

Geometry as extended XYZ:
```
6
Lattice="-1.642 4.252 -1.883 -3.363 -0.036 -3.607 -4.614 1.483 0.915" Properties=species:S:1:pos:R:3 pbc="T T T"
Ru 0.000 0.000 0.000
Zn -3.601 2.134 -1.713
Zn -5.920 2.879 -1.254
Zn -4.427 4.270 -2.659
Zn -5.291 2.115 -3.526
Zr -7.215 4.274 -3.432
```

Computed properties:
- ΔH_f (0 K) (eV/atom) = -0.35

The following is a GGA-PBEsol calculation of CrCdOs2 after structural relaxation, from Alexandria via LeMat-Bulk.

Geometry as extended XYZ:
```
4
Lattice="-0.901 -2.548 -1.051 1.718 -2.091 3.597 -3.968 0.501 2.188" Properties=species:S:1:pos:R:3 pbc="T T T"
Cd 0.409 -2.320 1.273
Cr -1.125 -0.795 2.892
Os 0.000 0.000 0.000
Os -2.435 -1.023 0.568
```

Computed properties:
- ΔH_f (0 K) (eV/atom) = 0.75

The following is a GGA-PBEsol calculation of LaSe2S after structural relaxation, from Alexandria via LeMat-Bulk.

Geometry as extended XYZ:
```
8
Lattice="4.016 0.000 0.000 0.000 4.016 0.000 -2.008 -2.008 11.785" Properties=species:S:1:pos:R:3 pbc="T T T"
S 2.008 0.000 5.893
S 2.008 2.008 0.000
Se 0.942 3.012 2.946
Se 3.075 1.004 2.946
Se -1.004 -1.066 8.839
Se 1.004 1.066 8.839
La 0.000 2.008 5.893
La 0.000 0.000 0.000
```

Computed properties:
- formation energy without anion corrections (eV/f.u.) = -4.5

The following is a GGA-PBEsol calculation of KInAs after structural relaxation, from Alexandria via LeMat-Bulk.

Geometry as extended XYZ:
```
3
Lattice="5.068 0.000 0.000 2.534 4.389 0.000 2.534 1.463 4.138" Properties=species:S:1:pos:R:3 pbc="T T T"
As 2.534 1.463 1.035
In 0.000 0.000 0.000
K 5.068 2.926 2.069
```

Computed properties:
- ΔH_f (0 K) (eV/atom) = -0.11

The following is a GGA-PBEsol calculation of CsBiMoO2 after structural relaxation, from Alexandria via LeMat-Bulk.

Geometry as extended XYZ:
```
5
Lattice="4.235 0.000 0.000 0.000 4.235 0.000 0.000 0.000 5.434" Properties=species:S:1:pos:R:3 pbc="T T T"
Cs 2.118 2.118 2.717
Mo 0.000 0.000 0.000
Bi 0.000 0.000 2.717
O 0.000 2.118 0.000
O 2.118 0.000 0.000
```

Computed properties:
- formation energy without anion corrections (eV/f.u.) = -2.0

The following is a GGA-PBEsol calculation of BeCdAs2Br after structural relaxation, from Alexandria via LeMat-Bulk.

Geometry as extended XYZ:
```
5
Lattice="-0.574 -4.012 -1.142 3.700 0.042 -2.009 2.950 -1.957 5.393" Properties=species:S:1:pos:R:3 pbc="T T T"
Be 0.000 0.000 0.000
As 1.850 0.021 -1.005
As -0.287 -2.006 -0.571
Br 1.475 -0.979 2.697
Cd 3.038 -2.964 1.121
```

Computed properties:
- formation energy without anion corrections (eV/f.u.) = 1.9

The following is a GGA-PBEsol calculation of MnTcBrN2 after structural relaxation, from Alexandria via LeMat-Bulk.

Geometry as extended XYZ:
```
5
Lattice="3.808 0.000 0.000 0.000 3.808 0.000 0.000 0.000 5.227" Properties=species:S:1:pos:R:3 pbc="T T T"
Mn 1.904 1.904 2.613
Tc 0.000 0.000 0.000
Br 0.000 0.000 2.613
N 0.000 1.904 0.000
N 1.904 0.000 0.000
```

Computed properties:
- formation energy without anion corrections (eV/f.u.) = 3.3

The following is a GGA-PBEsol calculation of ZrCoF6 after structural relaxation, from Alexandria via LeMat-Bulk.

Geometry as extended XYZ:
```
8
Lattice="5.621 0.000 0.000 2.810 4.868 0.000 2.810 1.623 4.627" Properties=species:S:1:pos:R:3 pbc="T T T"
Co 0.000 0.000 0.000
Zr 5.621 3.245 2.314
F 7.137 3.873 1.154
F 5.407 1.618 1.154
F 6.923 2.246 3.474
F 5.835 4.872 3.474
F 4.105 2.617 3.474
F 4.319 4.244 1.154
```

Computed properties:
- formation energy without anion corrections (eV/f.u.) = -23.5

The following is a GGA-PBEsol calculation of SrZn2GeS after structural relaxation, from Alexandria via LeMat-Bulk.

Geometry as extended XYZ:
```
5
Lattice="-0.736 -0.597 -4.629 4.374 -1.724 -0.474 -1.821 -4.873 0.918" Properties=species:S:1:pos:R:3 pbc="T T T"
S -0.910 -2.436 0.459
Sr 0.908 -3.596 -2.093
Ge 0.000 0.000 0.000
Zn 2.187 -0.862 -0.237
Zn -0.368 -0.298 -2.315
```

Computed properties:
- formation energy without anion corrections (eV/f.u.) = -1.1

The following is a GGA-PBEsol calculation of Ge2BiMoW after structural relaxation, from Alexandria via LeMat-Bulk.

Geometry as extended XYZ:
```
5
Lattice="-0.981 -4.151 -2.889 4.212 -2.388 2.001 -2.952 -1.981 3.849" Properties=species:S:1:pos:R:3 pbc="T T T"
Mo 0.140 -4.260 1.481
Ge -1.476 -0.991 1.924
Ge 2.106 -1.194 1.001
Bi 0.000 0.000 0.000
W -0.490 -2.075 -1.444
```

Computed properties:
- ΔH_f (0 K) (eV/atom) = 2.62

The following is a GGA-PBEsol calculation of Rb3CuH after structural relaxation, from Alexandria via LeMat-Bulk.

Geometry as extended XYZ:
```
5
Lattice="5.610 0.000 0.000 0.000 5.610 0.000 0.000 0.000 5.610" Properties=species:S:1:pos:R:3 pbc="T T T"
H 0.000 0.000 0.000
Cu 2.805 2.805 2.805
Rb 0.000 2.805 0.000
Rb 0.000 0.000 2.805
Rb 2.805 0.000 0.000
```

Computed properties:
- ΔE to the lowest computed polymorph (eV/atom) = 0.000

The following is a GGA-PBEsol calculation of Hf2CrB2 after structural relaxation, from Alexandria via LeMat-Bulk.

Geometry as extended XYZ:
```
10
Lattice="-0.215 0.597 3.264 -3.070 -5.192 0.749 5.231 -2.966 0.887" Properties=species:S:1:pos:R:3 pbc="T T T"
Cr 0.000 0.000 0.000
Cr 1.080 -4.079 0.818
B 3.466 -4.695 1.088
B 0.427 -6.439 1.207
B -1.306 -3.463 0.548
B 1.734 -1.719 0.429
Hf 2.908 -2.692 2.378
Hf 2.054 -5.674 2.868
Hf -0.962 -4.869 2.522
Hf -0.108 -1.886 2.032
```

Computed properties:
- ΔH_f (0 K) (eV/atom) = -0.60

The following is a GGA-PBEsol calculation of Zr2Ag2N after structural relaxation, from Alexandria via LeMat-Bulk.

Geometry as extended XYZ:
```
5
Lattice="-1.632 -3.569 0.196 0.246 -0.327 -3.908 6.652 -0.744 2.457" Properties=species:S:1:pos:R:3 pbc="T T T"
Zr 3.103 -1.510 -1.654
Zr 2.163 -3.131 0.398
Ag 4.825 -2.180 0.486
Ag 0.441 -2.461 -1.742
N 0.000 0.000 0.000
```

Computed properties:
- formation energy without anion corrections (eV/f.u.) = 6.9

The following is a GGA-PBEsol calculation of KTlSe after structural relaxation, from Alexandria via LeMat-Bulk.

Geometry as extended XYZ:
```
3
Lattice="3.886 0.000 0.000 0.000 3.886 0.000 -1.943 -1.943 5.783" Properties=species:S:1:pos:R:3 pbc="T T T"
Tl 0.000 0.000 3.507
K 0.000 0.000 0.140
Se 1.943 1.943 2.136
```

Computed properties:
- formation energy without anion corrections (eV/f.u.) = -1.9
- ΔE to the lowest computed polymorph (eV/atom) = 0.051

The following is a GGA-PBEsol calculation of DyGe2Ir after structural relaxation, from Alexandria via LeMat-Bulk.

Geometry as extended XYZ:
```
16
Lattice="-3.586 1.893 -1.207 -3.121 -0.685 8.199 6.491 6.480 -1.709" Properties=species:S:1:pos:R:3 pbc="T T T"
Ge -1.079 0.745 4.374
Ge -0.159 3.792 6.421
Ge 0.794 4.002 3.916
Ge -0.057 3.895 -1.138
Ge -0.706 6.580 5.003
Ge 0.863 6.942 0.909
Ge 0.491 1.108 0.279
Ge -1.010 3.686 1.366
Ir -1.430 1.543 6.670
Ir 1.214 6.145 -1.388
Ir -0.348 5.802 2.716
Ir 0.132 1.886 2.566
Dy 1.848 4.172 1.052
Dy -2.610 0.767 1.542
Dy -4.097 0.440 5.450
Dy -2.064 3.515 4.230
```

Computed properties:
- ΔH_f (0 K) (eV/atom) = -0.85

The following is a GGA-PBEsol calculation of NaLa3Fe after structural relaxation, from Alexandria via LeMat-Bulk.

Geometry as extended XYZ:
```
5
Lattice="5.345 0.000 0.000 0.000 5.345 0.000 0.000 0.000 5.345" Properties=species:S:1:pos:R:3 pbc="T T T"
Na 2.672 2.672 2.672
Fe 0.000 0.000 0.000
La 0.000 2.672 0.000
La 0.000 0.000 2.672
La 2.672 0.000 0.000
```

Computed properties:
- ΔH_f (0 K) (eV/atom) = 0.11

Number 1: E -3.904 eV/atom. Number 2: E -10.325 eV/atom. Number 3: E -7.626 eV/atom. Number 4: E -9.024 eV/atom. Number 5: E -4.611 eV/atom. Number 6: E -8.222 eV/atom. Number 7: E -5.478 eV/atom. Number 8: E -3.181 eV/atom. Number 9: E -5.897 eV/atom. Number 10: E -3.081 eV/atom. Number 11: E -7.336 eV/atom. Number 12: E -6.489 eV/atom. Number 13: E -3.091 eV/atom. Number 14: E -5.329 eV/atom. Number 15: E -1.875 eV/atom. Number 16: E -9.659 eV/atom. Number 17: E -5.289 eV/atom. Number 18: E -3.179 eV/atom. Number 19: E -7.020 eV/atom. Number 20: E -5.167 eV/atom.